Material: YPuCdIn
Method: DFT, PBE
State: relaxed

Geometry as POSCAR:
```
YPuCdIn
1.0
5.347 0.000 0.000
2.674 4.631 0.000
2.674 1.544 4.366
In Pu Y Cd
1 1 1 1
Cartesian
5.347 3.087 2.183 In
2.674 1.544 1.091 Pu
8.021 4.631 3.274 Y
0.000 0.000 0.000 Cd
```

Calculated values
DFT total energy = -6.327 eV/atom